<one>
Density functional theory data (PBE-GGA) for a relaxed structure of SmMg3Ag3.

POSCAR file:
```
SmMg3Ag3
1.0
4.9859 0.0000 0.0000
0.0000 7.2516 -4.1413
0.0000 -0.0413 8.3512
Mg Ag Sm
6 6 2
direct
0.7500 0.9920 0.7660
0.7500 0.7740 0.0080
0.2500 0.2260 0.9920
0.2500 0.0080 0.2340
0.7500 0.2340 0.2260
0.2500 0.7660 0.7740
0.2500 0.0790 0.6130
0.7500 0.9210 0.3870
0.7500 0.6130 0.5340
0.7500 0.4659 0.0789
0.2500 0.5341 0.9211
0.2500 0.3870 0.4660
0.7500 0.3333 0.6666
0.2500 0.6667 0.3334
```

Calculated values
Magnetization, μB per atom: 0.000
D(E_F), states/eV/f.u.: 4.6

---

<two>
Density functional theory data (PBE-GGA) for a relaxed structure of SmMg3Ag3.

POSCAR file:
```
SmMg3Ag3
1.0
-2.9546 -0.7002 -6.5597
-5.6294 -3.4799 2.9070
-3.4395 6.2968 0.8771
Mg Ag Sm
6 6 2
direct
0.2500 0.0000 0.5000
0.5000 0.2500 0.0000
0.0000 0.5000 0.7500
0.5000 0.7500 0.0000
0.7500 0.0000 0.5000
0.0000 0.5000 0.2500
0.0000 0.7500 0.5000
0.5000 0.0000 0.7500
0.0000 0.2500 0.5000
0.2500 0.5000 0.0000
0.7500 0.5000 0.0000
0.5000 0.0000 0.2500
0.5000 0.5000 0.5000
0.0000 0.0000 0.0000
```

Calculated values
Magnetization, μB per atom: 0.000
D(E_F), states/eV/f.u.: 4.9

---

The least stable of them is <two>.

---

<one>
Density functional theory data (PBE-GGA) for a relaxed structure of SmMgAg4.

POSCAR file:
```
SmMgAg4
1.0
-1.7090 2.1350 -1.7190
-3.8468 -3.0824 0.0013
-1.3448 1.6863 8.0011
Ag Mg Sm
4 1 1
direct
0.8227 0.9972 0.8179
0.1773 0.9973 0.1779
0.1909 0.4974 0.3467
0.8150 0.4971 0.6502
0.0004 0.9976 0.4977
0.5015 0.4971 0.9985
```

Calculated values
Magnetization, μB per atom: 0.000
D(E_F), states/eV/f.u.: 2.6

---

<two>
Density functional theory data (PBE-GGA) for a relaxed structure of SmMgAg4.

POSCAR file:
```
SmMgAg4
1.0
-5.3125 -1.8028 -0.4626
-2.1796 -1.0616 -5.0803
-1.0456 -5.3062 -1.5612
Ag Mg Sm
4 1 1
direct
0.6256 0.6256 0.6256
0.6256 0.6256 0.1231
0.1231 0.6256 0.6256
0.6256 0.1231 0.6256
0.0000 0.0000 0.0000
0.2500 0.2500 0.2500
```

Calculated values
Magnetization, μB per atom: 0.000
D(E_F), states/eV/f.u.: 5.3

---

The least stable of them is <one>.

---

<one>
Density functional theory data (PBE-GGA) for a relaxed structure of Sm4MgAg2.

POSCAR file:
```
Sm4MgAg2
1.0
-3.2468 -0.1063 -4.1363
1.1832 -2.9405 -4.1971
-4.7519 -7.4400 0.5774
Ag Sm Mg
2 4 1
direct
0.7407 0.7407 0.7779
0.2593 0.2593 0.2221
0.8668 0.8668 0.3997
0.1332 0.1332 0.6003
0.6137 0.6137 0.1590
0.3863 0.3863 0.8410
0.0000 0.0000 0.0000
```

Calculated values
Magnetization, μB per atom: 0.086
D(E_F), states/eV/f.u.: 9.7

---

<two>
Density functional theory data (PBE-GGA) for a relaxed structure of Sm4MgAg2.

POSCAR file:
```
Sm4MgAg2
1.0
5.2565 0.0000 0.0000
2.6282 4.5523 0.0000
2.6282 1.5174 8.8165
Sm Mg Ag
4 1 2
direct
0.7131 0.7131 0.8606
0.1233 0.1233 0.6302
0.8767 0.8767 0.3698
0.2869 0.2869 0.1394
0.5000 0.5000 0.5000
0.5994 0.5994 0.2017
0.4006 0.4006 0.7983
```

Calculated values
Magnetization, μB per atom: 0.000
D(E_F), states/eV/f.u.: 9.3

---

The least stable of them is <two>.

---

<one>
Density functional theory data (PBE-GGA) for a relaxed structure of SmMg2Ag3.

POSCAR file:
```
SmMg2Ag3
1.0
4.7678 0.0000 0.0000
-2.3839 4.1290 0.0000
0.0000 0.0000 13.1375
Mg Ag Sm
4 6 2
direct
0.6667 0.3333 0.4233
0.6667 0.3333 0.0767
0.3333 0.6667 0.9233
0.3333 0.6667 0.5767
0.6667 0.3333 0.6367
0.6667 0.3333 0.8633
0.0000 0.0000 0.5000
0.3333 0.6667 0.1367
0.0000 0.0000 0.0000
0.3333 0.6667 0.3633
0.0000 0.0000 0.2500
0.0000 0.0000 0.7500
```

Calculated values
Magnetization, μB per atom: 0.000
D(E_F), states/eV/f.u.: 3.9

---

<two>
Density functional theory data (PBE-GGA) for a relaxed structure of SmMg2Ag3.

POSCAR file:
```
SmMg2Ag3
1.0
3.4291 0.0000 0.0000
0.0000 3.4291 0.0000
0.0000 0.0000 10.6284
Ag Sm Mg
3 1 2
direct
0.0000 0.0000 0.0000
0.0000 0.0000 0.6993
0.0000 0.0000 0.3007
0.5000 0.5000 0.5000
0.5000 0.5000 0.8450
0.5000 0.5000 0.1550
```

Calculated values
Magnetization, μB per atom: 0.000
D(E_F), states/eV/f.u.: 2.6

---

The least stable of them is <two>.